## CaCrB2 (PBE)

Data for a relaxed CaCrB2 crystal.

Calculated values
N(E_F) in states/eV per atom: 0.6759
Space group: I4_1/amd (141)
Energy above the lowest structure with this stoichiometry in meV per atom: 0
Uncorrected energy in eV per cell: -45.84
M_tot in μB per cell: 3.8

abc: 4.288 4.288 7.519
angles: 73.43 73.43 90.00
Sites, in units of the cell vectors:
Cr: 0.000 0.000 0.000
Cr: 0.750 0.250 0.500
Ca: 0.500 0.500 0.000
Ca: 0.250 0.750 0.500
B: 0.875 0.125 0.250
B: 0.875 0.625 0.250
B: 0.375 0.125 0.750
B: 0.875 0.125 0.750